A plane-wave DFT calculation with GGA-PBEsol was carried out for TaMo2C after structural relaxation.

Lattice parameters (Å, degrees): 2.7059 2.7059 7.2984 90.00 90.00 90.00
Last column: nearest neighbours and their distance in Å.
Space group P4/mmm (No. 123)
One atom of each set of equivalent atoms:
Ta (0.0000, 0.0000, 0.0000) x1  4 Ta 2.71
Mo (0.5000, 0.5000, 0.3259) x2  4 C 2.30, 1 Mo 2.54
C (0.0000, 0.0000, 0.5000) x1  8 Mo 2.30

- theoretical density (g/cm³) = 11.96
- energy of formation (eV/atom) = 0.30